Record 1
Below is crystalline Tl2CuRuO6 at its relaxed geometry, with properties calculated at the PBE level.

Values from the calculation:
As for the crystal system: trigonal. As for the symmetry: R-3m. For the total energy, the calculation gives -106.6 eV per cell. The value obtained for the spin magnetization is 0.65 μB per formula unit.

a = 5.7856 Å, b = 5.7856 Å, c = 10.4478 Å
α = 73.93°, β = 73.93°, γ = 60.00°
Last column: nearest neighbours and their distance in Å.
Fractional coordinates of all 20 atoms:
Cu1 0.6320 0.6320 0.1039  3 O 1.82
Cu2 0.3680 0.3680 0.8961  3 O 1.82
O1 0.3772 0.8518 0.3937  1 Ru 1.90
O2 0.1912 0.7335 0.8840  1 Cu 1.82, 1 Ru 1.91
O3 0.6228 0.1482 0.6063  1 Ru 1.90
O4 0.7335 0.1912 0.8840  1 Cu 1.82, 1 Ru 1.91
O5 0.1482 0.6228 0.6063  1 Ru 1.90
O6 0.6228 0.6228 0.6063  1 Ru 1.90
O7 0.3772 0.3772 0.3937  1 Ru 1.90
O8 0.8088 0.8088 0.1160  1 Cu 1.82, 1 Ru 1.91
O9 0.1912 0.1912 0.8840  1 Cu 1.82, 1 Ru 1.91
O10 0.8088 0.2665 0.1160  1 Cu 1.82, 1 Ru 1.91
O11 0.8518 0.3772 0.3937  1 Ru 1.90
O12 0.2665 0.8088 0.1160  1 Cu 1.82, 1 Ru 1.91
Tl1 0.7351 0.7351 0.7946  3 O 2.56
Tl2 0.1390 0.1390 0.5829  3 O 2.57
Tl3 0.2649 0.2649 0.2054  3 O 2.56
Tl4 0.8610 0.8610 0.4171  3 O 2.57
Ru1 0.0000 0.0000 0.0000  6 O 1.91
Ru2 0.5000 0.5000 0.5000  6 O 1.90

---

Record 2
Below is crystalline Tl2Cu2RuO6 at its relaxed geometry, with properties calculated at the PBE level.

Values from the calculation:
As for the crystal system: trigonal. As for the symmetry: R-3m. For the total energy, the calculation gives -59.2 eV per cell. The value obtained for the spin magnetization is 0.17 μB per formula unit.

a = 5.8584 Å, b = 5.8584 Å, c = 6.2958 Å
α = 62.27°, β = 62.27°, γ = 60.00°
Last column: nearest neighbours and their distance in Å.
Fractional coordinates of all 11 atoms:
O1 0.2298 0.7750 0.2202  1 Cu 1.85, 1 Ru 1.93
O2 0.2250 0.7702 0.7798  1 Cu 1.85, 1 Ru 1.93
O3 0.7702 0.2250 0.7798  1 Cu 1.85, 1 Ru 1.93
O4 0.2250 0.2250 0.7798  1 Cu 1.85, 1 Ru 1.93
O5 0.7750 0.7750 0.2202  1 Cu 1.85, 1 Ru 1.93
O6 0.7750 0.2298 0.2202  1 Cu 1.85, 1 Ru 1.93
Ru1 0.0000 0.0000 0.0000  6 O 1.93
Tl1 0.2135 0.2135 0.3595  9 O 2.71-3.03, 1 Cu 2.91
Tl2 0.7865 0.7865 0.6405  9 O 2.71-3.03, 1 Cu 2.91
Cu1 0.6039 0.6039 0.1883  3 O 1.85
Cu2 0.3961 0.3961 0.8117  3 O 1.85

---

Record 3
Below is crystalline UCuRuO6 at its relaxed geometry, with properties calculated at the PBE level.

Values from the calculation:
As for the crystal system: trigonal. As for the symmetry: P-31c. For the total energy, the calculation gives -139.2 eV per cell. The value obtained for the spin magnetization is 2.92 μB per formula unit.

a = 5.1908 Å, b = 5.1908 Å, c = 9.1327 Å
α = 90.00°, β = 90.00°, γ = 120.00°
Last column: nearest neighbours and their distance in Å.
Fractional coordinates of all 18 atoms:
O1 0.6851 0.6803 0.1238  1 Ru 2.00, 1 U 2.10, 1 Cu 2.13
O2 0.0048 0.6851 0.8762  1 Ru 2.00, 1 U 2.10, 1 Cu 2.13
O3 0.6851 0.0048 0.3762  1 Ru 2.00, 1 U 2.10, 1 Cu 2.13
O4 0.3197 0.0048 0.1238  1 Ru 2.00, 1 U 2.10, 1 Cu 2.13
O5 0.9952 0.6803 0.3762  1 Ru 2.00, 1 U 2.10, 1 Cu 2.13
O6 0.3197 0.3149 0.3762  1 Ru 2.00, 1 U 2.10, 1 Cu 2.13
O7 0.6803 0.9952 0.8762  1 Ru 2.00, 1 U 2.10, 1 Cu 2.13
O8 0.9952 0.3149 0.1238  1 Ru 2.00, 1 U 2.10, 1 Cu 2.13
O9 0.6803 0.6851 0.6238  1 Ru 2.00, 1 U 2.10, 1 Cu 2.13
O10 0.3150 0.9952 0.6238  1 Ru 2.00, 1 U 2.10, 1 Cu 2.13
O11 0.3150 0.3197 0.8762  1 Ru 2.00, 1 U 2.10, 1 Cu 2.13
O12 0.0048 0.3197 0.6238  1 Ru 2.00, 1 U 2.10, 1 Cu 2.13
U1 0.6667 0.3333 0.2500  6 O 2.10
U2 0.3333 0.6667 0.7500  6 O 2.10
Ru1 0.0000 0.0000 0.5000  6 O 2.00
Ru2 0.0000 0.0000 0.0000  6 O 2.00
Cu1 0.3333 0.6667 0.2500  6 O 2.13
Cu2 0.6667 0.3333 0.7500  6 O 2.13